Below is an optimized crystal structure of La3Zn4Ru2, with properties calculated at the PBE level.

Cell lengths 4.1702, 6.2122, 8.8712 Å; angles 69.74, 76.41, 70.39 degrees
Closest atoms and distances in Å follow each position.
Atoms (fractional coordinates):
1 La 0.0000 0.0000 0.0000  4 Ru 3.04, 6 Zn 3.15-3.22
2 La 0.6920 0.2587 0.3573  3 Ru 2.97-3.15, 7 Zn 3.22-3.31
3 La 0.3080 0.7413 0.6427  3 Ru 2.97-3.15, 7 Zn 3.22-3.31
4 Zn 0.7227 0.6150 0.9395  2 Zn 2.54, 1 Ru 2.58
5 Zn 0.0282 0.3099 0.6336  2 Ru 2.62, 1 Zn 2.70
6 Zn 0.2773 0.3850 0.0605  2 Zn 2.54, 1 Ru 2.58
7 Zn 0.9718 0.6901 0.3664  2 Ru 2.62, 1 Zn 2.70
8 Ru 0.3869 0.9629 0.2633  3 Zn 2.58-2.62
9 Ru 0.6131 0.0371 0.7367  3 Zn 2.58-2.62

Properties
- E_tot (eV/atom) = -4.581
- total moment (μB/cell) = 0.0
- energy of formation from the pure elements (eV per atom) = -0.31